A plane-wave DFT calculation with GGA+U was carried out for an optimized crystal structure of YCrIO4.

extended XYZ file:
```
14
Lattice="6.629 0.558 -0.397 2.722 6.070 -0.397 1.474 1.045 6.364" Properties=species:S:1:pos:R:3 pbc="T T T"
Y 3.870 2.743 5.247
O 6.924 6.513 4.971
O 7.295 5.170 2.519
O 5.170 3.664 1.048
O 5.656 4.009 4.522
I 0.528 0.374 1.726
O 8.438 4.376 4.971
Cr 6.984 4.950 4.144
O 2.387 3.297 0.599
Cr 3.842 2.723 1.426
O 3.902 1.160 0.599
O 3.531 2.503 3.050
I 10.297 7.299 3.844
Y 6.956 4.930 0.322
```

Results
total energy = -6.884 eV per atom
volume = 17.95 Å³ per atom
crystal system = monoclinic